The following is a GGA+U calculation of crystalline CsCrCoF6 at its relaxed geometry, from Alexandria via LeMat-Bulk.

Cell: 7.4659 7.4659 7.4659 Å, 120.43 120.18 89.47°
Closest atoms and distances in Å follow each position.
Atoms (fractional coordinates):
Cs (0.3691, 0.1191, 0.2500)  6 F 3.14-3.39
Cs (0.6309, 0.8809, 0.7500)  6 F 3.14-3.39
Cr (0.0000, 0.5000, 0.5000)  6 F 1.94-1.97
Cr (0.5000, 0.5000, 0.0000)  6 F 1.94-1.97
Co (0.0000, 0.0000, 0.5000)  6 F 2.01-2.08
Co (0.0000, 0.5000, 0.0000)  6 F 2.01-2.08
F (0.0734, 0.8234, 0.2500)  2 Co 2.01
F (0.0751, 0.4350, 0.2651)  1 Cr 1.94, 1 Co 2.08
F (0.0751, 0.8099, 0.6401)  1 Cr 1.94, 1 Co 2.08
F (0.3111, 0.5611, 0.7500)  2 Cr 1.97
F (0.3302, 0.1901, 0.7651)  1 Cr 1.94, 1 Co 2.08
F (0.3302, 0.5650, 0.1401)  1 Cr 1.94, 1 Co 2.08
F (0.6698, 0.4350, 0.8599)  1 Cr 1.94, 1 Co 2.08
F (0.6698, 0.8099, 0.2349)  1 Cr 1.94, 1 Co 2.08
F (0.6889, 0.4389, 0.2500)  2 Cr 1.97
F (0.9249, 0.1901, 0.3599)  1 Cr 1.94, 1 Co 2.08
F (0.9249, 0.5650, 0.7349)  1 Cr 1.94, 1 Co 2.08
F (0.9266, 0.1766, 0.7500)  2 Co 2.01

## Properties
Its space group is Imma (74). The calculation puts the total energy at -96.63 eV per cell. As for the volume: 16.27 Å³ per atom.